Record 1
Computed, not measured: an optimized crystal structure of Li2CoSnP2O8 at the GGA+U level of DFT.

Lattice parameters (Å, degrees): 4.963 5.891 12.147 90.00 101.33 90.00
Space group P2_1/m (No. 11)
Unique sites:
Li (0.000, 0.000, 0.000) [2 per cell]
Li (0.500, 0.000, 0.500) [2 per cell]
Co (0.050, 0.250, 0.682) [2 per cell]
Sn (0.447, 0.250, 0.218) [2 per cell]
P (0.065, 0.250, 0.418) [2 per cell]
P (0.411, 0.250, 0.895) [2 per cell]
O (0.173, 0.034, 0.365) [4 per cell]
O (0.228, 0.250, 0.542) [2 per cell]
O (0.251, 0.750, 0.596) [2 per cell]
O (0.276, 0.750, 0.081) [2 per cell]
O (0.283, 0.044, 0.817) [4 per cell]
O (0.286, 0.250, 0.002) [2 per cell]

Results
- distance to the lowest polymorph of the same formula (eV per atom) = 0.010
- spin magnetization (μB per formula unit) = 3.0

Record 2
Computed, not measured: an optimized crystal structure of Li2Ti4CoP4O20 at the GGA+U level of DFT.

Lattice parameters (Å, degrees): 6.451 7.356 7.497 89.83 89.75 89.46
Space group P-1 (No. 2)
Unique sites:
Li (0.000, 0.000, 0.000) [1 per cell]
Li (0.000, 0.500, 0.500) [1 per cell]
Ti (0.247, 0.215, 0.330) [2 per cell]
Ti (0.261, 0.272, 0.840) [2 per cell]
Co (0.500, 0.500, 0.500) [1 per cell]
P (0.246, 0.875, 0.623) [2 per cell]
P (0.248, 0.623, 0.126) [2 per cell]
O (0.055, 0.746, 0.137) [2 per cell]
O (0.055, 0.749, 0.616) [2 per cell]
O (0.232, 0.160, 0.110) [2 per cell]
O (0.234, 0.002, 0.785) [2 per cell]
O (0.245, 0.507, 0.956) [2 per cell]
O (0.253, 0.496, 0.297) [2 per cell]
O (0.258, 0.983, 0.447) [2 per cell]
O (0.267, 0.352, 0.615) [2 per cell]
O (0.440, 0.747, 0.634) [2 per cell]
O (0.442, 0.742, 0.129) [2 per cell]

Results
- spin magnetization (μB per formula unit) = 3.0
- uncorrected energy (Ry/atom) = -0.5676

Record 3
Computed, not measured: an optimized crystal structure of Li4V3CoP4O16 at the GGA+U level of DFT.

Lattice parameters (Å, degrees): 4.767 6.089 10.434 90.00 90.08 90.00
Space group Pm (No. 6)
Unique sites:
Li (0.000, 0.249, 0.000) [2 per cell]
Li (0.501, 0.250, 0.494) [2 per cell]
V (0.022, 0.000, 0.272) [1 per cell]
V (0.480, 0.000, 0.773) [1 per cell]
V (0.981, 0.500, 0.724) [1 per cell]
Co (0.518, 0.500, 0.221) [1 per cell]
P (0.091, 0.500, 0.403) [1 per cell]
P (0.413, 0.500, 0.910) [1 per cell]
P (0.588, 0.000, 0.090) [1 per cell]
P (0.911, 0.000, 0.589) [1 per cell]
O (0.206, 0.500, 0.542) [1 per cell]
O (0.231, 0.298, 0.334) [2 per cell]
O (0.233, 0.000, 0.594) [1 per cell]
O (0.266, 0.000, 0.093) [1 per cell]
O (0.274, 0.297, 0.841) [2 per cell]
O (0.296, 0.500, 0.049) [1 per cell]
O (0.710, 0.000, 0.952) [1 per cell]
O (0.723, 0.204, 0.159) [2 per cell]
O (0.735, 0.500, 0.904) [1 per cell]
O (0.768, 0.500, 0.395) [1 per cell]
O (0.774, 0.203, 0.658) [2 per cell]
O (0.792, 0.000, 0.450) [1 per cell]

Results
- spin magnetization (μB per formula unit) = 12.0
- uncorrected energy (Ry/atom) = -0.5162

Record 4
Computed, not measured: an optimized crystal structure of Li4VCo3P4O16 at the GGA+U level of DFT.

Lattice parameters (Å, degrees): 4.762 6.009 10.362 90.00 90.06 90.00
Space group Pm (No. 6)
Unique sites:
Li (0.000, 0.249, 0.000) [2 per cell]
Li (0.495, 0.251, 0.507) [2 per cell]
V (0.514, 0.000, 0.226) [1 per cell]
Co (0.015, 0.500, 0.282) [1 per cell]
Co (0.480, 0.500, 0.782) [1 per cell]
Co (0.979, 0.000, 0.721) [1 per cell]
P (0.077, 0.000, 0.409) [1 per cell]
P (0.417, 0.000, 0.904) [1 per cell]
P (0.588, 0.500, 0.094) [1 per cell]
P (0.916, 0.500, 0.597) [1 per cell]
O (0.202, 0.000, 0.548) [1 per cell]
O (0.212, 0.206, 0.338) [2 per cell]
O (0.239, 0.500, 0.601) [1 per cell]
O (0.266, 0.500, 0.101) [1 per cell]
O (0.279, 0.205, 0.833) [2 per cell]
O (0.295, 0.000, 0.043) [1 per cell]
O (0.703, 0.500, 0.954) [1 per cell]
O (0.730, 0.296, 0.164) [2 per cell]
O (0.739, 0.000, 0.900) [1 per cell]
O (0.755, 0.000, 0.408) [1 per cell]
O (0.779, 0.295, 0.668) [2 per cell]
O (0.795, 0.500, 0.458) [1 per cell]

Results
- spin magnetization (μB per formula unit) = 12.0
- uncorrected energy (Ry/atom) = -0.4962